(1)
Material: Tm2Tl3Te6Au
Method: DFT, GGA-PBE
State: relaxed

* M_tot: 0.0 Bohr magnetons per cell
* E_tot: -3.84 eV/atom
* D(E_F): 0.309 states/eV per atom

Cell lengths 7.5266, 7.5266, 8.6223 Å; angles 100.67, 100.67, 117.83 degrees
Element x y z (fractional)
Tm (0.1587, 0.8413, 0.0000)
Tm (0.8413, 0.1587, 0.0000)
Tl (0.0000, 0.0000, 0.5000)
Tl (0.3235, 0.6765, 0.5000)
Tl (0.6765, 0.3235, 0.5000)
Te (0.1224, 0.4354, 0.8082)
Te (0.2315, 0.2315, 0.2429)
Te (0.4354, 0.1224, 0.8082)
Te (0.5646, 0.8776, 0.1918)
Te (0.7685, 0.7685, 0.7571)
Te (0.8776, 0.5646, 0.1918)
Au (0.5000, 0.5000, 0.0000)

(2)
Material: TmTlTe2Au
Method: DFT, GGA-PBE
State: relaxed

* M_tot: 0.0 Bohr magnetons per cell
* E_tot: -3.88 eV/atom
* D(E_F): 0.522 states/eV per atom

Cell lengths 8.7181, 4.7615, 7.9804 Å; angles 90.00, 98.34, 90.00 degrees
Element x y z (fractional)
Tm (0.0000, 0.0010, 0.2500)
Tm (0.0000, 0.9990, 0.7500)
Tl (0.5000, 0.3394, 0.2500)
Tl (0.5000, 0.6606, 0.7500)
Te (0.2537, 0.1579, 0.5418)
Te (0.2537, 0.8421, 0.0418)
Te (0.7463, 0.1579, 0.9582)
Te (0.7463, 0.8421, 0.4582)
Au (0.0000, 0.5000, 0.0000)
Au (0.0000, 0.5000, 0.5000)

(3)
Material: UTlTe3Au
Method: DFT, GGA-PBE
State: relaxed

* M_tot: 4.0 Bohr magnetons per cell
* E_tot: -4.84 eV/atom
* D(E_F): 1.220 states/eV per atom

Cell lengths 9.4992, 4.3509, 10.2077 Å; angles 90.00, 109.52, 90.00 degrees
Element x y z (fractional)
U (0.1840, 0.2500, 0.1641)
U (0.8160, 0.7500, 0.8359)
Tl (0.2961, 0.7500, 0.7544)
Tl (0.7039, 0.2500, 0.2456)
Te (0.0490, 0.2500, 0.8428)
Te (0.2577, 0.2500, 0.4740)
Te (0.3956, 0.7500, 0.1259)
Te (0.6044, 0.2500, 0.8741)
Te (0.7423, 0.7500, 0.5260)
Te (0.9510, 0.7500, 0.1572)
Au (0.4106, 0.7500, 0.4034)
Au (0.5894, 0.2500, 0.5966)

(4)
Material: UTl2Te6Au2
Method: DFT, GGA-PBE
State: relaxed

* M_tot: 0.6 Bohr magnetons per cell
* E_tot: -3.93 eV/atom
* D(E_F): 0.550 states/eV per atom

Cell lengths 8.3388, 8.3388, 9.4497 Å; angles 121.30, 121.30, 46.89 degrees
Element x y z (fractional)
U (0.0000, 0.0000, 0.0000)
Tl (0.2182, 0.2182, 0.7337)
Tl (0.7818, 0.7818, 0.2663)
Te (0.1655, 0.6695, 0.6809)
Te (0.2169, 0.2169, 0.1012)
Te (0.3305, 0.8345, 0.3191)
Te (0.6695, 0.1655, 0.6809)
Te (0.7831, 0.7831, 0.8988)
Te (0.8345, 0.3305, 0.3191)
Au (0.4176, 0.4176, 0.2163)
Au (0.5824, 0.5824, 0.7837)

(5)
Material: UTl3Te6Au2
Method: DFT, GGA-PBE
State: relaxed

* M_tot: 0.0 Bohr magnetons per cell
* E_tot: -3.90 eV/atom
* D(E_F): 0.754 states/eV per atom

Cell lengths 8.3263, 8.3263, 8.1152 Å; angles 97.65, 97.65, 131.66 degrees
Element x y z (fractional)
U (0.0000, 0.0000, 0.0000)
Tl (0.1879, 0.8121, 0.5000)
Tl (0.5000, 0.5000, 0.5000)
Tl (0.8121, 0.1879, 0.5000)
Te (0.1160, 0.4105, 0.1953)
Te (0.1817, 0.1817, 0.7199)
Te (0.4105, 0.1160, 0.1953)
Te (0.5895, 0.8840, 0.8047)
Te (0.8183, 0.8183, 0.2801)
Te (0.8840, 0.5895, 0.8047)
Au (0.4028, 0.5972, 0.0000)
Au (0.5972, 0.4028, 0.0000)

(6)
Material: TlVTe3Au
Method: DFT, GGA-PBE
State: relaxed

* M_tot: 2.6 Bohr magnetons per cell
* E_tot: -4.26 eV/atom
* D(E_F): 0.473 states/eV per atom

Cell lengths 8.5844, 4.0032, 10.4475 Å; angles 90.00, 112.02, 90.00 degrees
Element x y z (fractional)
Tl (0.2399, 0.2500, 0.2232)
Tl (0.7601, 0.7500, 0.7768)
V (0.2068, 0.7500, 0.6732)
V (0.7932, 0.2500, 0.3268)
Te (0.0383, 0.7500, 0.3819)
Te (0.2153, 0.7500, 0.9332)
Te (0.4016, 0.2500, 0.6247)
Te (0.5984, 0.7500, 0.3753)
Te (0.7847, 0.2500, 0.0668)
Te (0.9617, 0.2500, 0.6181)
Au (0.4309, 0.2500, 0.8906)
Au (0.5691, 0.7500, 0.1094)

(7)
Material: YTlTe2Au
Method: DFT, GGA-PBE
State: relaxed

* M_tot: 0.0 Bohr magnetons per cell
* E_tot: -4.31 eV/atom
* D(E_F): 0.597 states/eV per atom

Cell lengths 8.6364, 4.8652, 8.0770 Å; angles 90.00, 99.07, 90.00 degrees
Element x y z (fractional)
Y (0.0000, 0.0004, 0.2500)
Y (0.0000, 0.9996, 0.7500)
Tl (0.5000, 0.3297, 0.2500)
Tl (0.5000, 0.6703, 0.7500)
Te (0.2565, 0.1694, 0.5446)
Te (0.2565, 0.8306, 0.0446)
Te (0.7435, 0.1694, 0.9554)
Te (0.7435, 0.8306, 0.4554)
Au (0.0000, 0.5000, 0.0000)
Au (0.0000, 0.5000, 0.5000)

(8)
Material: Zr3Tl4Te8Au
Method: DFT, GGA-PBE
State: relaxed

* M_tot: 0.0 Bohr magnetons per cell
* E_tot: -4.49 eV/atom
* D(E_F): 0.376 states/eV per atom

Cell lengths 8.4642, 8.4642, 9.5295 Å; angles 116.41, 116.41, 59.89 degrees
Element x y z (fractional)
Zr (0.0000, 0.0000, 0.0000)
Zr (0.0000, 0.5000, 0.0000)
Zr (0.5000, 0.0000, 0.0000)
Tl (0.0000, 0.0000, 0.5000)
Tl (0.0000, 0.5000, 0.5000)
Tl (0.5000, 0.0000, 0.5000)
Tl (0.5000, 0.5000, 0.5000)
Te (0.2316, 0.7351, 0.2018)
Te (0.2363, 0.2363, 0.2091)
Te (0.2641, 0.2641, 0.7976)
Te (0.2649, 0.7684, 0.7982)
Te (0.7351, 0.2316, 0.2018)
Te (0.7359, 0.7359, 0.2024)
Te (0.7637, 0.7637, 0.7909)
Te (0.7684, 0.2649, 0.7982)
Au (0.5000, 0.5000, 0.0000)

(9)
Material: ZrTlTe3Au
Method: DFT, GGA-PBE
State: relaxed

* M_tot: 0.0 Bohr magnetons per cell
* E_tot: -4.50 eV/atom
* D(E_F): 0.027 states/eV per atom

Cell lengths 8.7198, 4.1757, 10.8218 Å; angles 90.00, 111.10, 90.00 degrees
Element x y z (fractional)
Zr (0.2082, 0.2500, 0.1791)
Zr (0.7918, 0.7500, 0.8209)
Tl (0.2244, 0.7500, 0.7153)
Tl (0.7756, 0.2500, 0.2847)
Te (0.0536, 0.2500, 0.8793)
Te (0.2280, 0.2500, 0.4483)
Te (0.4252, 0.7500, 0.1411)
Te (0.5748, 0.2500, 0.8589)
Te (0.7720, 0.7500, 0.5517)
Te (0.9464, 0.7500, 0.1207)
Au (0.4153, 0.7500, 0.3915)
Au (0.5847, 0.2500, 0.6085)

(10)
Material: Zr3Tl3Te8Au
Method: DFT, GGA-PBE
State: relaxed

* M_tot: 0.0 Bohr magnetons per cell
* E_tot: -4.61 eV/atom
* D(E_F): 0.456 states/eV per atom

Cell lengths 8.2502, 8.2502, 9.3348 Å; angles 113.92, 113.92, 63.22 degrees
Element x y z (fractional)
Zr (0.0000, 0.0000, 0.0000)
Zr (0.0000, 0.5000, 0.0000)
Zr (0.5000, 0.0000, 0.0000)
Tl (0.0000, 0.5000, 0.5000)
Tl (0.5000, 0.0000, 0.5000)
Tl (0.5000, 0.5000, 0.5000)
Te (0.2097, 0.7499, 0.2121)
Te (0.2372, 0.2372, 0.2095)
Te (0.2501, 0.7903, 0.7879)
Te (0.2815, 0.2815, 0.8083)
Te (0.7185, 0.7185, 0.1917)
Te (0.7499, 0.2097, 0.2121)
Te (0.7628, 0.7628, 0.7905)
Te (0.7903, 0.2501, 0.7879)
Au (0.5000, 0.5000, 0.0000)

(11)
Material: Zr2Tl3Te6Au
Method: DFT, GGA-PBE
State: relaxed

* M_tot: 0.0 Bohr magnetons per cell
* E_tot: -4.35 eV/atom
* D(E_F): 0.143 states/eV per atom

Cell lengths 7.3828, 7.3828, 8.4224 Å; angles 98.42, 98.42, 119.66 degrees
Element x y z (fractional)
Zr (0.1649, 0.8351, 0.0000)
Zr (0.8351, 0.1649, 0.0000)
Tl (0.0000, 0.0000, 0.5000)
Tl (0.3312, 0.6688, 0.5000)
Tl (0.6688, 0.3312, 0.5000)
Te (0.0934, 0.4327, 0.7956)
Te (0.2276, 0.2276, 0.2051)
Te (0.4327, 0.0934, 0.7956)
Te (0.5673, 0.9066, 0.2044)
Te (0.7724, 0.7724, 0.7949)
Te (0.9066, 0.5673, 0.2044)
Au (0.5000, 0.5000, 0.0000)

(12)
Material: Tm4TeAu
Method: DFT, GGA-PBE
State: relaxed

* M_tot: 0.0 Bohr magnetons per cell
* energy relative to the lowest polymorph listed for this composition: 245 meV per atom
* E_tot: -4.53 eV/atom
* D(E_F): 1.127 states/eV per atom

Cell lengths 5.9373, 8.1636, 7.8009 Å; angles 90.00, 108.16, 90.00 degrees
Element x y z (fractional)
Tm (0.0357, 0.0436, 0.2341)
Tm (0.0357, 0.4564, 0.2341)
Tm (0.4068, 0.2500, 0.0082)
Tm (0.4341, 0.7500, 0.4975)
Tm (0.5659, 0.2500, 0.5025)
Tm (0.5932, 0.7500, 0.9918)
Tm (0.9643, 0.5436, 0.7659)
Tm (0.9643, 0.9564, 0.7659)
Te (0.1036, 0.2500, 0.5775)
Te (0.8964, 0.7500, 0.4225)
Au (0.1646, 0.7500, 0.0785)
Au (0.8354, 0.2500, 0.9215)